This record from Alexandria describes crystalline HoMnOs at its relaxed geometry. The functional is PBE.

Results
Energy relative to the lowest polymorph listed for this composition = 184.0 kJ/mol of formula units
ΔE_f = 0.407 eV per atom

```
12
Lattice="-0.522 -6.499 1.207 6.551 -0.669 -0.774 0.753 0.967 5.535" Properties=species:S:1:pos:R:3 pbc="T T T"
Mn 2.604 -3.096 0.187
Mn 3.802 -3.589 3.013
Mn 6.257 -0.825 0.745
Mn 0.525 -5.377 5.223
Os 2.289 -3.922 4.729
Os 5.306 -5.377 3.121
Os 1.100 -1.308 0.079
Os 4.493 -2.279 1.239
Ho 1.298 -4.913 2.134
Ho 4.406 -5.238 0.316
Ho 2.000 -1.447 2.884
Ho 5.484 -1.289 3.834
```

---

This record from Alexandria describes crystalline HoMnOs at its relaxed geometry. The functional is PBE.

Results
Energy relative to the lowest polymorph listed for this composition = 0.0 kJ/mol of formula units
ΔE_f = -0.229 eV per atom

```
6
Lattice="-3.758 3.712 -0.517 -3.337 -0.157 -4.110 -5.097 -1.273 0.673" Properties=species:S:1:pos:R:3 pbc="T T T"
Ho -6.462 2.700 -1.748
Ho -5.731 -0.418 -2.206
Mn 0.000 0.000 0.000
Mn -1.879 1.856 -0.258
Os -3.548 1.778 -2.313
Os -4.428 1.220 0.078
```

---

This record from Alexandria describes crystalline HoMnSi2Os at its relaxed geometry. The functional is PBE.

Results
E_form (uncorrected) = -704.8 meV/atom

```
5
Lattice="-2.897 -2.736 -0.032 2.245 -2.404 2.250 -1.684 4.649 3.116" Properties=species:S:1:pos:R:3 pbc="T T T"
Ho 0.000 0.000 0.000
Mn 0.118 -0.162 3.238
Si -0.804 -2.075 2.115
Si -1.531 1.584 3.220
Os -2.453 -0.329 2.097
```

---

This record from Alexandria describes crystalline HoMnSi3Os at its relaxed geometry. The functional is PBE.

Results
E_form (uncorrected) = -270.7 meV/atom

```
12
Lattice="-4.012 3.403 1.176 -3.141 -5.232 4.426 4.338 4.451 1.920" Properties=species:S:1:pos:R:3 pbc="T T T"
Ho -1.663 3.445 2.892
Ho -1.152 -0.823 4.630
Mn -0.760 1.012 0.657
Mn -2.054 1.610 6.865
Si 0.336 1.738 2.293
Si -0.752 -1.252 1.060
Si -4.395 -2.278 3.955
Si -2.758 0.449 1.647
Si -2.389 -3.980 3.367
Si -3.150 0.884 5.229
Os 1.497 2.508 4.027
Os -4.311 0.114 3.495
```

---

This record from Alexandria describes crystalline HoThMnOs at its relaxed geometry. The functional is PBE.

Results
ΔE_f = -0.027 eV per atom

```
4
Lattice="4.941 0.000 0.000 2.470 4.279 0.000 2.470 1.426 4.034" Properties=species:S:1:pos:R:3 pbc="T T T"
Mn 0.000 0.000 0.000
Os 4.941 2.853 2.017
Ho 2.470 1.426 1.009
Th 7.411 4.279 3.026
```

---

This record from Alexandria describes crystalline HoTmMnOs at its relaxed geometry. The functional is PBE.

Results
ΔE_f = -0.053 eV per atom

```
4
Lattice="-1.734 -4.130 -1.885 2.318 -4.196 0.796 -1.978 -3.355 2.906" Properties=species:S:1:pos:R:3 pbc="T T T"
Tm -1.045 -8.760 1.363
Os -0.697 -5.840 0.909
Ho -0.348 -2.920 0.454
Mn 0.000 0.000 0.000
```